## AuF (PBE)

Data for crystalline AuF at its relaxed geometry.

CIF file:
```
data_AuF
_chemical_formula_sum 'Au1 F1'
_symmetry_space_group_name_H-M 'P 1'
_symmetry_Int_Tables_number 1
_symmetry_space_group_name_Hall 'P 1'
_cell_length_a 2.859
_cell_length_b 2.859
_cell_length_c 3.887
_cell_angle_alpha 90.00
_cell_angle_beta 90.00
_cell_angle_gamma 120.00
loop_
_atom_site_label
_atom_site_type_symbol
_atom_site_fract_x
_atom_site_fract_y
_atom_site_fract_z
Au1 Au 0.000 0.000 0.000
F1 F 0.667 0.333 0.500
```

Values from the calculation:
DFT total energy (eV/atom): -2.907
Space group: P-6m2

## AuF4 (PBE)

Data for crystalline AuF4 at its relaxed geometry.

CIF file:
```
data_AuF4
_chemical_formula_sum 'Au1 F4'
_symmetry_space_group_name_H-M 'P 1'
_symmetry_Int_Tables_number 1
_symmetry_space_group_name_Hall 'P 1'
_cell_length_a 4.085
_cell_length_b 4.085
_cell_length_c 4.085
_cell_angle_alpha 106.66
_cell_angle_beta 106.66
_cell_angle_gamma 115.25
loop_
_atom_site_label
_atom_site_type_symbol
_atom_site_fract_x
_atom_site_fract_y
_atom_site_fract_z
Au1 Au 0.000 0.000 0.000
F1 F 0.185 0.651 0.837
F2 F 0.349 0.185 0.534
F3 F 0.651 0.815 0.466
F4 F 0.815 0.349 0.163
```

Values from the calculation:
DFT total energy (eV/atom): -2.765
Space group: I4/m

## AuF3 (PBE)

Data for crystalline AuF3 at its relaxed geometry.

CIF file:
```
data_AuF3
_chemical_formula_sum 'Au2 F6'
_symmetry_space_group_name_H-M 'P 1'
_symmetry_Int_Tables_number 1
_symmetry_space_group_name_Hall 'P 1'
_cell_length_a 4.092
_cell_length_b 4.243
_cell_length_c 5.586
_cell_angle_alpha 88.97
_cell_angle_beta 77.50
_cell_angle_gamma 71.24
loop_
_atom_site_label
_atom_site_type_symbol
_atom_site_fract_x
_atom_site_fract_y
_atom_site_fract_z
Au1 Au 0.127 0.223 0.294
Au2 Au 0.873 0.777 0.706
F1 F 0.085 0.330 0.803
F2 F 0.321 0.788 0.457
F3 F 0.425 0.768 0.902
F4 F 0.575 0.232 0.098
F5 F 0.679 0.212 0.543
F6 F 0.915 0.670 0.197
```

Values from the calculation:
DFT total energy (eV/atom): -2.967
Space group: P-1

## AuF4 (PBE)

Data for crystalline AuF4 at its relaxed geometry.

CIF file:
```
data_AuF4
_chemical_formula_sum 'Au1 F4'
_symmetry_space_group_name_H-M 'P 1'
_symmetry_Int_Tables_number 1
_symmetry_space_group_name_Hall 'P 1'
_cell_length_a 3.836
_cell_length_b 4.093
_cell_length_c 4.162
_cell_angle_alpha 109.76
_cell_angle_beta 101.42
_cell_angle_gamma 114.45
loop_
_atom_site_label
_atom_site_type_symbol
_atom_site_fract_x
_atom_site_fract_y
_atom_site_fract_z
Au1 Au 0.000 0.000 0.000
F1 F 0.172 0.337 0.520
F2 F 0.351 0.803 0.153
F3 F 0.649 0.197 0.847
F4 F 0.828 0.663 0.480
```

Values from the calculation:
DFT total energy (eV/atom): -2.739
Space group: P-1

## AuF (PBE)

Data for crystalline AuF at its relaxed geometry.

CIF file:
```
data_AuF
_chemical_formula_sum 'Au2 F2'
_symmetry_space_group_name_H-M 'P 1'
_symmetry_Int_Tables_number 1
_symmetry_space_group_name_Hall 'P 1'
_cell_length_a 3.760
_cell_length_b 3.760
_cell_length_c 6.166
_cell_angle_alpha 90.00
_cell_angle_beta 90.00
_cell_angle_gamma 120.00
loop_
_atom_site_label
_atom_site_type_symbol
_atom_site_fract_x
_atom_site_fract_y
_atom_site_fract_z
Au1 Au 0.333 0.667 0.000
Au2 Au 0.667 0.333 0.500
F1 F 0.333 0.667 0.375
F2 F 0.667 0.333 0.875
```

Values from the calculation:
DFT total energy (eV/atom): -2.638
Space group: P6_3mc

## AuF (PBE)

Data for crystalline AuF at its relaxed geometry.

CIF file:
```
data_AuF
_chemical_formula_sum 'Au2 F2'
_symmetry_space_group_name_H-M 'P 1'
_symmetry_Int_Tables_number 1
_symmetry_space_group_name_Hall 'P 1'
_cell_length_a 2.942
_cell_length_b 3.406
_cell_length_c 5.571
_cell_angle_alpha 90.00
_cell_angle_beta 94.66
_cell_angle_gamma 90.00
loop_
_atom_site_label
_atom_site_type_symbol
_atom_site_fract_x
_atom_site_fract_y
_atom_site_fract_z
Au1 Au 0.115 0.250 0.343
Au2 Au 0.885 0.750 0.657
F1 F 0.288 0.750 0.125
F2 F 0.712 0.250 0.875
```

Values from the calculation:
DFT total energy (eV/atom): -3.134
Space group: P2_1/m

## Au5F (PBE)

Data for crystalline Au5F at its relaxed geometry.

CIF file:
```
data_Au5F
_chemical_formula_sum 'Au5 F1'
_symmetry_space_group_name_H-M 'P 1'
_symmetry_Int_Tables_number 1
_symmetry_space_group_name_Hall 'P 1'
_cell_length_a 5.465
_cell_length_b 5.465
_cell_length_c 4.630
_cell_angle_alpha 90.00
_cell_angle_beta 90.00
_cell_angle_gamma 120.00
loop_
_atom_site_label
_atom_site_type_symbol
_atom_site_fract_x
_atom_site_fract_y
_atom_site_fract_z
Au1 Au 0.000 0.500 0.000
Au2 Au 0.333 0.667 0.500
Au3 Au 0.500 0.000 0.000
Au4 Au 0.500 0.500 0.000
Au5 Au 0.667 0.333 0.500
F1 F 0.000 0.000 0.500
```

Values from the calculation:
DFT total energy (eV/atom): -3.064
Space group: P6/mmm

## AuF (PBE)

Data for crystalline AuF at its relaxed geometry.

CIF file:
```
data_AuF
_chemical_formula_sum 'Au4 F4'
_symmetry_space_group_name_H-M 'P 1'
_symmetry_Int_Tables_number 1
_symmetry_space_group_name_Hall 'P 1'
_cell_length_a 5.733
_cell_length_b 5.733
_cell_length_c 5.733
_cell_angle_alpha 114.37
_cell_angle_beta 114.37
_cell_angle_gamma 100.07
loop_
_atom_site_label
_atom_site_type_symbol
_atom_site_fract_x
_atom_site_fract_y
_atom_site_fract_z
Au1 Au 0.000 0.000 0.000
Au2 Au 0.000 0.000 0.500
Au3 Au 0.000 0.500 0.000
Au4 Au 0.500 0.000 0.500
F1 F 0.194 0.444 0.750
F2 F 0.444 0.194 0.250
F3 F 0.556 0.806 0.750
F4 F 0.806 0.556 0.250
```

Values from the calculation:
DFT total energy (eV/atom): -3.092
Space group: I4_1/amd

## AuF3 (PBE)

Data for crystalline AuF3 at its relaxed geometry.

CIF file:
```
data_AuF3
_chemical_formula_sum 'Au2 F6'
_symmetry_space_group_name_H-M 'P 1'
_symmetry_Int_Tables_number 1
_symmetry_space_group_name_Hall 'P 1'
_cell_length_a 4.370
_cell_length_b 4.370
_cell_length_c 5.528
_cell_angle_alpha 90.00
_cell_angle_beta 90.00
_cell_angle_gamma 118.10
loop_
_atom_site_label
_atom_site_type_symbol
_atom_site_fract_x
_atom_site_fract_y
_atom_site_fract_z
Au1 Au 0.166 0.834 0.500
Au2 Au 0.834 0.166 0.000
F1 F 0.074 0.926 0.845
F2 F 0.284 0.716 0.190
F3 F 0.399 0.601 0.653
F4 F 0.601 0.399 0.153
F5 F 0.716 0.284 0.690
F6 F 0.926 0.074 0.345
```

Values from the calculation:
DFT total energy (eV/atom): -3.035
Space group: Cmc2_1

## AuF (PBE)

Data for crystalline AuF at its relaxed geometry.

CIF file:
```
data_AuF
_chemical_formula_sum 'Au1 F1'
_symmetry_space_group_name_H-M 'P 1'
_symmetry_Int_Tables_number 1
_symmetry_space_group_name_Hall 'P 1'
_cell_length_a 3.761
_cell_length_b 3.761
_cell_length_c 3.761
_cell_angle_alpha 60.00
_cell_angle_beta 60.00
_cell_angle_gamma 60.00
loop_
_atom_site_label
_atom_site_type_symbol
_atom_site_fract_x
_atom_site_fract_y
_atom_site_fract_z
Au1 Au 0.000 0.000 0.000
F1 F 0.750 0.750 0.750
```

Values from the calculation:
DFT total energy (eV/atom): -2.639
Space group: F-43m

## AuF2 (PBE)

Data for crystalline AuF2 at its relaxed geometry.

CIF file:
```
data_AuF2
_chemical_formula_sum 'Au4 F8'
_symmetry_space_group_name_H-M 'P 1'
_symmetry_Int_Tables_number 1
_symmetry_space_group_name_Hall 'P 1'
_cell_length_a 5.338
_cell_length_b 4.234
_cell_length_c 6.247
_cell_angle_alpha 90.00
_cell_angle_beta 90.00
_cell_angle_gamma 90.00
loop_
_atom_site_label
_atom_site_type_symbol
_atom_site_fract_x
_atom_site_fract_y
_atom_site_fract_z
Au1 Au 0.151 0.250 0.037
Au2 Au 0.349 0.750 0.537
Au3 Au 0.651 0.250 0.463
Au4 Au 0.849 0.750 0.963
F1 F 0.087 0.250 0.350
F2 F 0.198 0.250 0.724
F3 F 0.302 0.750 0.224
F4 F 0.413 0.750 0.850
F5 F 0.587 0.250 0.150
F6 F 0.698 0.250 0.776
F7 F 0.802 0.750 0.276
F8 F 0.913 0.750 0.650
```

Values from the calculation:
DFT total energy (eV/atom): -3.022
Space group: Pnma

## AuF (PBE)

Data for crystalline AuF at its relaxed geometry.

CIF file:
```
data_AuF
_chemical_formula_sum 'Au4 F4'
_symmetry_space_group_name_H-M 'P 1'
_symmetry_Int_Tables_number 1
_symmetry_space_group_name_Hall 'P 1'
_cell_length_a 2.958
_cell_length_b 11.128
_cell_length_c 4.511
_cell_angle_alpha 90.00
_cell_angle_beta 130.85
_cell_angle_gamma 90.00
loop_
_atom_site_label
_atom_site_type_symbol
_atom_site_fract_x
_atom_site_fract_y
_atom_site_fract_z
Au1 Au 0.117 0.078 0.250
Au2 Au 0.117 0.422 0.750
Au3 Au 0.883 0.578 0.250
Au4 Au 0.883 0.922 0.750
F1 F 0.420 0.186 0.751
F2 F 0.420 0.314 0.251
F3 F 0.580 0.686 0.749
F4 F 0.580 0.814 0.249
```

Values from the calculation:
DFT total energy (eV/atom): -3.139
Space group: P2_1/c

## AuF2 (PBE)

Data for crystalline AuF2 at its relaxed geometry.

CIF file:
```
data_AuF2
_chemical_formula_sum 'Au2 F4'
_symmetry_space_group_name_H-M 'P 1'
_symmetry_Int_Tables_number 1
_symmetry_space_group_name_Hall 'P 1'
_cell_length_a 4.064
_cell_length_b 4.064
_cell_length_c 4.356
_cell_angle_alpha 90.00
_cell_angle_beta 90.00
_cell_angle_gamma 78.00
loop_
_atom_site_label
_atom_site_type_symbol
_atom_site_fract_x
_atom_site_fract_y
_atom_site_fract_z
Au1 Au 0.160 0.840 0.750
Au2 Au 0.840 0.160 0.250
F1 F 0.167 0.460 0.250
F2 F 0.460 0.167 0.750
F3 F 0.540 0.833 0.250
F4 F 0.833 0.540 0.750
```

Values from the calculation:
DFT total energy (eV/atom): -3.006
Space group: Cmcm

## AuF2 (PBE)

Data for crystalline AuF2 at its relaxed geometry.

CIF file:
```
data_AuF2
_chemical_formula_sum 'Au2 F4'
_symmetry_space_group_name_H-M 'P 1'
_symmetry_Int_Tables_number 1
_symmetry_space_group_name_Hall 'P 1'
_cell_length_a 6.817
_cell_length_b 6.817
_cell_length_c 6.817
_cell_angle_alpha 60.00
_cell_angle_beta 60.00
_cell_angle_gamma 60.00
loop_
_atom_site_label
_atom_site_type_symbol
_atom_site_fract_x
_atom_site_fract_y
_atom_site_fract_z
Au1 Au 0.125 0.125 0.125
Au2 Au 0.875 0.875 0.875
F1 F 0.000 0.000 0.000
F2 F 0.000 0.000 0.500
F3 F 0.000 0.500 0.000
F4 F 0.500 0.000 0.000
```

Values from the calculation:
DFT total energy (eV/atom): -2.788
Space group: Fd-3m

## AuF (PBE)

Data for crystalline AuF at its relaxed geometry.

CIF file:
```
data_AuF
_chemical_formula_sum 'Au4 F4'
_symmetry_space_group_name_H-M 'P 1'
_symmetry_Int_Tables_number 1
_symmetry_space_group_name_Hall 'P 1'
_cell_length_a 4.014
_cell_length_b 4.014
_cell_length_c 8.307
_cell_angle_alpha 90.00
_cell_angle_beta 90.00
_cell_angle_gamma 90.00
loop_
_atom_site_label
_atom_site_type_symbol
_atom_site_fract_x
_atom_site_fract_y
_atom_site_fract_z
Au1 Au 0.000 0.000 0.000
Au2 Au 0.000 0.500 0.500
Au3 Au 0.500 0.000 0.500
Au4 Au 0.500 0.500 0.000
F1 F 0.250 0.250 0.192
F2 F 0.250 0.250 0.692
F3 F 0.750 0.750 0.308
F4 F 0.750 0.750 0.808
```

Values from the calculation:
DFT total energy (eV/atom): -3.040
Space group: P4_2/ncm

## AuF4 (PBE)

Data for crystalline AuF4 at its relaxed geometry.

CIF file:
```
data_AuF4
_chemical_formula_sum 'Au4 F16'
_symmetry_space_group_name_H-M 'P 1'
_symmetry_Int_Tables_number 1
_symmetry_space_group_name_Hall 'P 1'
_cell_length_a 5.264
_cell_length_b 5.264
_cell_length_c 8.041
_cell_angle_alpha 99.70
_cell_angle_beta 99.70
_cell_angle_gamma 80.01
loop_
_atom_site_label
_atom_site_type_symbol
_atom_site_fract_x
_atom_site_fract_y
_atom_site_fract_z
Au1 Au 0.000 0.000 0.000
Au2 Au 0.000 0.000 0.500
Au3 Au 0.500 0.500 0.000
Au4 Au 0.500 0.500 0.500
F1 F 0.103 0.624 0.404
F2 F 0.110 0.201 0.854
F3 F 0.137 0.669 0.860
F4 F 0.201 0.110 0.354
F5 F 0.318 0.388 0.156
F6 F 0.331 0.863 0.640
F7 F 0.376 0.897 0.096
F8 F 0.388 0.318 0.656
F9 F 0.612 0.682 0.344
F10 F 0.624 0.103 0.904
F11 F 0.669 0.137 0.360
F12 F 0.682 0.612 0.844
F13 F 0.799 0.890 0.646
F14 F 0.863 0.331 0.140
F15 F 0.890 0.799 0.146
F16 F 0.897 0.376 0.596
```

Values from the calculation:
DFT total energy (eV/atom): -2.830
Space group: C2/c

## AuF (PBE)

Data for crystalline AuF at its relaxed geometry.

CIF file:
```
data_AuF
_chemical_formula_sum 'Au2 F2'
_symmetry_space_group_name_H-M 'P 1'
_symmetry_Int_Tables_number 1
_symmetry_space_group_name_Hall 'P 1'
_cell_length_a 3.677
_cell_length_b 3.677
_cell_length_c 5.387
_cell_angle_alpha 90.00
_cell_angle_beta 90.00
_cell_angle_gamma 120.00
loop_
_atom_site_label
_atom_site_type_symbol
_atom_site_fract_x
_atom_site_fract_y
_atom_site_fract_z
Au1 Au 0.000 0.000 0.000
Au2 Au 0.000 0.000 0.500
F1 F 0.333 0.667 0.250
F2 F 0.667 0.333 0.750
```

Values from the calculation:
DFT total energy (eV/atom): -2.796
Space group: P6_3/mmc

## AuF2 (PBE)

Data for crystalline AuF2 at its relaxed geometry.

CIF file:
```
data_AuF2
_chemical_formula_sum 'Au2 F4'
_symmetry_space_group_name_H-M 'P 1'
_symmetry_Int_Tables_number 1
_symmetry_space_group_name_Hall 'P 1'
_cell_length_a 4.615
_cell_length_b 4.615
_cell_length_c 4.615
_cell_angle_alpha 60.00
_cell_angle_beta 60.00
_cell_angle_gamma 60.00
loop_
_atom_site_label
_atom_site_type_symbol
_atom_site_fract_x
_atom_site_fract_y
_atom_site_fract_z
Au1 Au 0.125 0.125 0.125
Au2 Au 0.875 0.875 0.875
F1 F 0.000 0.500 0.500
F2 F 0.500 0.000 0.500
F3 F 0.500 0.500 0.000
F4 F 0.500 0.500 0.500
```

Values from the calculation:
DFT total energy (eV/atom): -2.212
Space group: Fd-3m

## GeTe2Au2F2 (PBE)

Data for crystalline GeTe2Au2F2 at its relaxed geometry.

CIF file:
```
data_GeTe2Au2F2
_chemical_formula_sum 'Ge1 Te2 Au2 F2'
_symmetry_space_group_name_H-M 'P 1'
_symmetry_Int_Tables_number 1
_symmetry_space_group_name_Hall 'P 1'
_cell_length_a 4.009
_cell_length_b 4.009
_cell_length_c 8.343
_cell_angle_alpha 90.00
_cell_angle_beta 90.00
_cell_angle_gamma 90.00
loop_
_atom_site_label
_atom_site_type_symbol
_atom_site_fract_x
_atom_site_fract_y
_atom_site_fract_z
Ge1 Ge 0.000 0.000 0.000
Te1 Te 0.000 0.500 0.229
Te2 Te 0.500 0.000 0.771
Au1 Au 0.000 0.500 0.698
Au2 Au 0.500 0.000 0.302
F1 F 0.000 0.000 0.500
F2 F 0.500 0.500 0.500
```

Values from the calculation:
DFT total energy (eV/atom): -3.355
Space group: P-4m2

## Ge2Te2AuF2 (PBE)

Data for crystalline Ge2Te2AuF2 at its relaxed geometry.

CIF file:
```
data_Ge2Te2AuF2
_chemical_formula_sum 'Ge2 Te2 Au1 F2'
_symmetry_space_group_name_H-M 'P 1'
_symmetry_Int_Tables_number 1
_symmetry_space_group_name_Hall 'P 1'
_cell_length_a 3.821
_cell_length_b 3.821
_cell_length_c 9.687
_cell_angle_alpha 90.00
_cell_angle_beta 90.00
_cell_angle_gamma 90.00
loop_
_atom_site_label
_atom_site_type_symbol
_atom_site_fract_x
_atom_site_fract_y
_atom_site_fract_z
Ge1 Ge 0.000 0.500 0.147
Ge2 Ge 0.500 0.000 0.853
Te1 Te 0.000 0.500 0.701
Te2 Te 0.500 0.000 0.299
Au1 Au 0.000 0.000 0.500
F1 F 0.000 0.000 0.000
F2 F 0.500 0.500 0.000
```

Values from the calculation:
DFT total energy (eV/atom): -3.919
Space group: P-4m2